Computed, not measured: a crystal of Pb5Au4 relaxed with PBEsol at the SCAN level of DFT.

Lattice parameters (Å, degrees): 8.7269 8.7269 6.5155 90.00 90.00 120.00
Fractional coordinates of all 18 atoms:
Pb  0.0000  0.2777  0.2500
Pb  0.0000  0.7223  0.7500
Pb  0.2777  0.0000  0.2500
Pb  0.2777  0.2777  0.7500
Pb  0.3333  0.6667  0.0000
Pb  0.3333  0.6667  0.5000
Pb  0.6667  0.3333  0.0000
Pb  0.6667  0.3333  0.5000
Pb  0.7223  0.0000  0.7500
Pb  0.7223  0.7223  0.2500
Au  0.0000  0.0000  0.0000
Au  0.0000  0.0000  0.5000
Au  0.0000  0.3824  0.7500
Au  0.0000  0.6176  0.2500
Au  0.3824  0.0000  0.7500
Au  0.3824  0.3824  0.2500
Au  0.6176  0.0000  0.2500
Au  0.6176  0.6176  0.7500

## Properties
Its symmetry is P6_3/mcm (193). Its spin magnetization is 0.00 μB per formula unit. Its energy relative to the elements is -4.0 kJ/mol of formula units.

=====

Computed, not measured: a crystal of Pb5Au24 relaxed with PBEsol at the SCAN level of DFT.

Lattice parameters (Å, degrees): 8.9301 8.9301 8.9301 109.47 109.47 109.47
Fractional coordinates of all 29 atoms:
Pb  0.0000  0.0000  0.0000
Pb  0.0000  0.0000  0.6358
Pb  0.0000  0.6358  0.0000
Pb  0.3642  0.3642  0.3642
Pb  0.6358  0.0000  0.0000
Au  0.0000  0.1916  0.3861
Au  0.0000  0.3861  0.1916
Au  0.0000  0.4194  0.6823
Au  0.0000  0.6823  0.4194
Au  0.1916  0.0000  0.3861
Au  0.1916  0.3861  0.0000
Au  0.1946  0.8084  0.8084
Au  0.2629  0.5806  0.5806
Au  0.3177  0.3177  0.7371
Au  0.3177  0.7371  0.3177
Au  0.3861  0.0000  0.1916
Au  0.3861  0.1916  0.0000
Au  0.4194  0.0000  0.6823
Au  0.4194  0.6823  0.0000
Au  0.5806  0.2629  0.5806
Au  0.5806  0.5806  0.2629
Au  0.6139  0.6139  0.8054
Au  0.6139  0.8054  0.6139
Au  0.6823  0.0000  0.4194
Au  0.6823  0.4194  0.0000
Au  0.7371  0.3177  0.3177
Au  0.8054  0.6139  0.6139
Au  0.8084  0.1946  0.8084
Au  0.8084  0.8084  0.1946

## Properties
Its symmetry is I-43m (217). Its spin magnetization is 0.00 μB per formula unit. Its energy relative to the elements is 150.0 kJ/mol of formula units.

=====

Computed, not measured: a crystal of PbAu5 relaxed with PBEsol at the SCAN level of DFT.

Lattice parameters (Å, degrees): 5.4848 5.4848 5.4848 60.00 60.00 60.00
Fractional coordinates of all 6 atoms:
Pb  0.0000  0.0000  0.0000
Au  0.3755  0.3755  0.3755
Au  0.3755  0.3755  0.8736
Au  0.3755  0.8736  0.3755
Au  0.7500  0.7500  0.7500
Au  0.8736  0.3755  0.3755

## Properties
Its symmetry is F-43m (216). Its spin magnetization is 0.00 μB per formula unit. Its energy relative to the elements is 44.5 kJ/mol of formula units.

=====

Copy entry 3 word for word.
Computed, not measured: a crystal of PbAu5 relaxed with PBEsol at the SCAN level of DFT.

Lattice parameters (Å, degrees): 5.4848 5.4848 5.4848 60.00 60.00 60.00
Fractional coordinates of all 6 atoms:
Pb  0.0000  0.0000  0.0000
Au  0.3755  0.3755  0.3755
Au  0.3755  0.3755  0.8736
Au  0.3755  0.8736  0.3755
Au  0.7500  0.7500  0.7500
Au  0.8736  0.3755  0.3755

## Properties
Its symmetry is F-43m (216). Its spin magnetization is 0.00 μB per formula unit. Its energy relative to the elements is 44.5 kJ/mol of formula units.

=====

Please write out number 3 again, unchanged.
Computed, not measured: a crystal of PbAu5 relaxed with PBEsol at the SCAN level of DFT.

Lattice parameters (Å, degrees): 5.4848 5.4848 5.4848 60.00 60.00 60.00
Fractional coordinates of all 6 atoms:
Pb  0.0000  0.0000  0.0000
Au  0.3755  0.3755  0.3755
Au  0.3755  0.3755  0.8736
Au  0.3755  0.8736  0.3755
Au  0.7500  0.7500  0.7500
Au  0.8736  0.3755  0.3755

## Properties
Its symmetry is F-43m (216). Its spin magnetization is 0.00 μB per formula unit. Its energy relative to the elements is 44.5 kJ/mol of formula units.